1.
Pr2Dy3Ho6Th: optimized geometry, PBE.

Properties
Calculated density, g cm⁻³: 8.6
N(E_F), states/eV/f.u.: 15.8
Crystal system: monoclinic
Formation energy from the elements, meV per atom: 33

a b c (Å): 6.1898 6.1898 11.7661
angles (deg): 95.03 95.03 119.95
Element x y z (fractional)
Pr 0.1666 0.8334 0.0000
Pr 0.8334 0.1666 0.0000
Dy 0.0000 0.0000 0.5000
Dy 0.3329 0.6671 0.5000
Dy 0.6671 0.3329 0.5000
Ho 0.0860 0.4153 0.7482
Ho 0.2556 0.2556 0.2519
Ho 0.4153 0.0860 0.7482
Ho 0.5847 0.9140 0.2518
Ho 0.7444 0.7444 0.7481
Ho 0.9140 0.5847 0.2518
Th 0.5000 0.5000 0.0000

=====

2.
YMgB: optimized geometry, PBE.

Properties
Calculated density, g cm⁻³: 3.6
Polymorph energy (0 for the lowest one), meV/atom: 243.4
N(E_F), states/eV/f.u.: 0.3
Crystal system: cubic
Formation energy from the elements, meV per atom: -33

a b c (Å): 4.3198 4.3198 4.3198
angles (deg): 60.00 60.00 60.00
Element x y z (fractional)
Y 0.0000 0.0000 0.0000
Mg 0.5000 0.5000 0.5000
B 0.2500 0.2500 0.2500

=====

3.
CoNi3Rh: optimized geometry, PBE.

Properties
Calculated density, g cm⁻³: 8.7
Polymorph energy (0 for the lowest one), meV/atom: 471.1
N(E_F), states/eV/f.u.: 6.5
Crystal system: hexagonal
Formation energy from the elements, meV per atom: 485

a b c (Å): 5.7469 5.7469 4.5296
angles (deg): 90.00 90.00 120.00
Element x y z (fractional)
Co 0.0000 0.0000 0.0000
Co 0.0000 0.0000 0.5000
Ni 0.1996 0.3992 0.2500
Ni 0.1996 0.8004 0.2500
Ni 0.3992 0.1996 0.7500
Ni 0.6008 0.8004 0.2500
Ni 0.8004 0.1996 0.7500
Ni 0.8004 0.6008 0.7500
Rh 0.3333 0.6667 0.7500
Rh 0.6667 0.3333 0.2500